No. 1
CaMg2Zn | PBE | optimized geometry Values from VASP.

## Properties
As for the formation energy: 24 meV/atom. Its space group is C2/m. The calculation puts the total magnetization at 0.0 μB/f.u. The value obtained for the raw total energy is -1.592 eV per atom.

```
&SYSTEM
  ibrav = 0, nat = 4, ntyp = 3
/
ATOMIC_SPECIES
Ca 40.08 Ca.upf
Mg 24.30 Mg.upf
Zn 65.41 Zn.upf
ATOMIC_POSITIONS angstrom
Ca 0.0000 0.0000 0.0000
Mg 0.8483 2.7539 1.4442
Mg 0.8483 -2.7539 1.4442
Zn 3.1025 0.0000 0.0000
CELL_PARAMETERS angstrom
3.1025 -5.5078 0.0000
3.1025 5.5078 0.0000
-1.4058 0.0000 2.8885
```



No. 2
CaMgZn2 | PBE | optimized geometry Values from VASP.

## Properties
As for the formation energy: -110 meV/atom. Its space group is Cm. The calculation puts the total magnetization at 0.0 μB/f.u. The value obtained for the raw total energy is -1.646 eV per atom.

```
&SYSTEM
  ibrav = 0, nat = 4, ntyp = 3
/
ATOMIC_SPECIES
Ca 40.08 Ca.upf
Mg 24.30 Mg.upf
Zn 65.41 Zn.upf
ATOMIC_POSITIONS angstrom
Ca 0.0000 0.0000 0.0000
Mg 0.6882 0.0000 3.1626
Zn 3.9432 0.0000 2.0610
Zn 7.7110 0.0000 1.1845
CELL_PARAMETERS angstrom
5.4055 -1.8294 0.0000
5.4055 1.8294 0.0000
-2.2728 0.0000 4.4474
```



No. 3
CaMg2Zn | PBE | optimized geometry Values from VASP.

## Properties
As for the formation energy: -45 meV/atom. Its space group is P2/m. The calculation puts the total magnetization at 0.0 μB/f.u. The value obtained for the raw total energy is -1.661 eV per atom.

```
&SYSTEM
  ibrav = 0, nat = 4, ntyp = 3
/
ATOMIC_SPECIES
Ca 40.08 Ca.upf
Mg 24.30 Mg.upf
Zn 65.41 Zn.upf
ATOMIC_POSITIONS angstrom
Ca 0.0000 0.0000 0.0000
Mg 0.2724 2.4231 4.1866
Mg 1.8845 2.4231 1.6327
Zn 1.0785 0.0000 2.9096
CELL_PARAMETERS angstrom
3.5113 0.0000 0.0000
0.0000 4.8462 0.0000
-1.3543 0.0000 5.8193
```



No. 4
CaMg3Zn3 | PBE | optimized geometry Values from VASP.

## Properties
As for the formation energy: -88 meV/atom. Its space group is P2_1/m. The calculation puts the total magnetization at 0.0 μB/f.u. The value obtained for the raw total energy is -1.603 eV per atom. Its energy above the most stable polymorph in this dataset is 0.168 eV per formula unit.

```
&SYSTEM
  ibrav = 0, nat = 14, ntyp = 3
/
ATOMIC_SPECIES
Ca 40.08 Ca.upf
Mg 24.30 Mg.upf
Zn 65.41 Zn.upf
ATOMIC_POSITIONS angstrom
Ca -0.2346 1.2029 3.0913
Ca 4.5399 3.6087 5.3434
Mg 0.3931 3.6087 0.7147
Mg -0.6184 1.2029 6.5549
Mg 0.8021 3.6087 5.2212
Mg 3.5032 1.2029 3.2135
Mg 4.9237 3.6087 1.8798
Mg 3.9122 1.2029 7.7200
Zn 1.9157 1.2029 0.8908
Zn -0.1617 3.6087 8.1060
Zn 2.1489 3.6087 2.7615
Zn 2.1564 1.2029 5.6732
Zn 4.4670 1.2029 0.3287
Zn 2.3896 3.6087 7.5439
CELL_PARAMETERS angstrom
7.4425 0.0000 0.0000
0.0000 4.8116 0.0000
-3.1372 0.0000 8.4347
```



No. 5
Ca2Mg2Zn15 | PBE | optimized geometry Values from VASP.

## Properties
As for the formation energy: -181 meV/atom. Its space group is R-3m. The calculation puts the total magnetization at 0.0 μB/f.u. The value obtained for the raw total energy is -1.565 eV per atom.

```
&SYSTEM
  ibrav = 0, nat = 19, ntyp = 3
/
ATOMIC_SPECIES
Ca 40.08 Ca.upf
Mg 24.30 Mg.upf
Zn 65.41 Zn.upf
ATOMIC_POSITIONS angstrom
Ca 0.0000 0.0000 2.0567
Ca 0.0000 0.0000 11.2768
Mg 0.0000 0.0000 5.2546
Mg 0.0000 0.0000 8.0790
Zn -2.3015 -1.3288 4.4445
Zn 0.0000 -2.7291 4.2345
Zn -2.3635 1.3645 4.2345
Zn -1.3642 -2.3629 6.6668
Zn -2.7285 0.0000 6.6668
Zn -2.3635 -1.3645 9.0990
Zn -2.3015 1.3288 8.8890
Zn 1.3642 -2.3629 6.6668
Zn 0.0000 2.6575 4.4445
Zn -1.3642 2.3629 6.6668
Zn 2.3635 1.3645 4.2345
Zn 2.7285 0.0000 6.6668
Zn 1.3642 2.3629 6.6668
Zn 2.3635 -1.3645 9.0990
Zn 0.0000 2.7291 9.0990
CELL_PARAMETERS angstrom
4.6030 2.6575 4.4445
-4.6030 2.6575 4.4445
0.0000 -5.3150 4.4445
```



No. 6
CaMg4Zn2 | PBE | optimized geometry Values from VASP.

## Properties
As for the formation energy: 615 meV/atom. Its space group is I4/mmm. The calculation puts the total magnetization at 0.0 μB/f.u. The value obtained for the raw total energy is -0.946 eV per atom. Its energy above the most stable polymorph in this dataset is 5.187 eV per formula unit.

```
&SYSTEM
  ibrav = 0, nat = 7, ntyp = 3
/
ATOMIC_SPECIES
Ca 40.08 Ca.upf
Mg 24.30 Mg.upf
Zn 65.41 Zn.upf
ATOMIC_POSITIONS angstrom
Ca 0.0000 0.0000 0.0000
Mg 2.8603 0.0000 0.0000
Mg 0.0000 0.0000 3.2201
Mg 0.0000 2.8603 0.0000
Mg 0.0000 0.0000 10.9666
Zn 0.0000 0.0000 5.8703
Zn 0.0000 0.0000 8.3164
CELL_PARAMETERS angstrom
-2.8603 2.8603 7.0933
2.8603 -2.8603 7.0933
2.8603 2.8603 -7.0933
```